Record 1
The following is a DFT calculation (PBE) of a geometry-optimized Ba3YBr structure.

Structure (POSCAR):
```
Ba3YBr
1.0
-0.5095 -3.8343 5.5335
5.9502 2.3394 2.1689
-3.1492 5.0405 3.2027
Ba Y Br
3 1 1
Direct
0.5000 0.0000 0.0000
0.0000 0.5000 0.0000
0.0000 0.0000 0.5000
0.0000 0.0000 0.0000
0.5000 0.5000 0.5000
```

E_tot = -2.55 eV/atom
Spin magnetization = 0.731 μB per atom
Energy above the lowest structure with this stoichiometry = 536 meV per atom
Density of states at the Fermi level = 8.87 states/eV per cell
Formation energy without anion corrections = 22.0 kJ per mole of atoms
Space group = No. 221

***

Record 2
The following is a DFT calculation (PBE) of a geometry-optimized PbBr4N2 structure.

Structure (POSCAR):
```
PbBr4N2
1.0
-3.5568 2.1940 -1.4306
-4.0125 -2.8747 5.5671
4.5293 5.1224 3.4146
N Br Pb
2 4 1
Direct
0.2836 0.2059 0.5672
0.7164 0.7941 0.4328
0.9262 0.3910 0.8525
0.3671 0.8269 0.7343
0.0738 0.6090 0.1475
0.6329 0.1731 0.2657
0.0000 0.0000 0.0000
```

E_tot = -2.68 eV/atom
Spin magnetization = 0.861 μB per atom
Density of states at the Fermi level = 0.21 states/eV per cell
Formation energy without anion corrections = 114.0 kJ per mole of atoms
Space group = No. 12

***

Record 3
The following is a DFT calculation (PBE) of a geometry-optimized Nd3ZnIn structure.

Structure (POSCAR):
```
Nd3ZnIn
1.0
-1.0712 3.7597 5.0280
-6.6764 -6.6625 3.5594
9.1978 -1.7286 3.2522
Nd Zn In
12 4 4
Direct
0.1357 0.2859 0.6394
0.3156 0.9107 0.5419
0.6844 0.0893 0.4581
0.9282 0.3096 0.2885
0.4282 0.1904 0.2115
0.6357 0.2141 0.8606
0.1844 0.4107 0.0419
0.8643 0.7141 0.3606
0.3643 0.7859 0.1394
0.5718 0.8096 0.7885
0.8156 0.5893 0.9581
0.0718 0.6904 0.7115
0.8811 0.9594 0.6563
0.1189 0.0406 0.3437
0.3811 0.5406 0.8437
0.6189 0.4594 0.1563
0.6482 0.4451 0.5959
0.8518 0.9451 0.0959
0.1482 0.0549 0.9041
0.3518 0.5549 0.4041
```

E_tot = -3.86 eV/atom
Spin magnetization = 0.000 μB per atom
Energy above the lowest structure with this stoichiometry = 89 meV per atom
Density of states at the Fermi level = 19.69 states/eV per cell
Formation energy = -0.194 eV per atom
Space group = No. 14

***

Record 4
The following is a DFT calculation (PBE) of a geometry-optimized BaAl4S8 structure.

Structure (POSCAR):
```
BaAl4S8
1.0
6.8257 0.0000 0.0000
3.4128 5.9112 0.0000
3.4128 1.9704 7.7669
S Ba Al
8 1 4
Direct
0.7295 0.2250 0.8206
0.7750 0.2705 0.1794
0.2727 0.2727 0.1820
0.2250 0.7295 0.8206
0.7273 0.7273 0.8180
0.7750 0.7750 0.1794
0.2705 0.7750 0.1794
0.2250 0.2250 0.8206
0.5000 0.5000 0.5000
0.0000 0.0000 0.0000
0.5000 0.0000 0.0000
0.5000 0.5000 0.0000
0.0000 0.5000 0.0000
```

E_tot = -4.88 eV/atom
Spin magnetization = 0.000 μB per atom
Density of states at the Fermi level = 8.65 states/eV per cell
Formation energy without anion corrections = -100.6 kJ per mole of atoms
Space group = No. 166

***

Record 5
The following is a DFT calculation (PBE) of a geometry-optimized CdCoTc2 structure.

Structure (POSCAR):
```
CdCoTc2
1.0
3.0470 0.0000 0.0000
0.0000 3.0470 0.0000
0.0000 0.0000 6.6247
Co Cd Tc
1 1 2
Direct
0.5000 0.5000 0.7500
0.5000 0.5000 0.2500
0.0000 0.0000 0.9401
0.0000 0.0000 0.5599
```

E_tot = -6.79 eV/atom
Spin magnetization = 0.358 μB per atom
Density of states at the Fermi level = 5.09 states/eV per cell
Formation energy = 0.396 eV per atom
Space group = No. 123

***

Record 6
The following is a DFT calculation (PBE) of a geometry-optimized MgPbW structure.

Structure (POSCAR):
```
MgPbW
1.0
-4.5345 6.0378 1.7811
-4.3064 4.5012 4.3540
1.9101 2.3052 0.2650
Pb Mg W
1 1 1
Direct
0.3209 0.3209 0.6791
0.0180 0.0180 0.9820
0.6610 0.6610 0.3390
```

E_tot = -5.42 eV/atom
Spin magnetization = 0.000 μB per atom
Energy above the lowest structure with this stoichiometry = 0 meV per atom
Density of states at the Fermi level = 1.79 states/eV per cell
Formation energy = 0.667 eV per atom
Space group = No. 42

***

Record 7
The following is a DFT calculation (PBE) of a geometry-optimized CdTeW2 structure.

Structure (POSCAR):
```
CdTeW2
1.0
0.0000 3.3116 3.3116
3.3116 0.0000 3.3116
3.3116 3.3116 0.0000
W Te Cd
2 1 1
Direct
0.7500 0.7500 0.7500
0.2500 0.2500 0.2500
0.5000 0.5000 0.5000
0.0000 0.0000 0.0000
```

E_tot = -6.47 eV/atom
Spin magnetization = 0.000 μB per atom
Energy above the lowest structure with this stoichiometry = 589 meV per atom
Density of states at the Fermi level = 5.33 states/eV per cell
Formation energy without anion corrections = 98.6 kJ per mole of atoms
Space group = No. 225

***

Record 8
The following is a DFT calculation (PBE) of a geometry-optimized Pr2ErSn structure.

Structure (POSCAR):
```
Pr2ErSn
1.0
3.5808 0.0000 0.0000
1.7904 3.1011 0.0000
1.7904 1.0337 12.2609
Pr Er Sn
2 1 1
Direct
0.0877 0.0877 0.7369
0.9123 0.9123 0.2631
0.5000 0.5000 0.5000
0.0000 0.0000 0.0000
```

E_tot = -4.48 eV/atom
Spin magnetization = 0.000 μB per atom
Energy above the lowest structure with this stoichiometry = 480 meV per atom
Density of states at the Fermi level = 4.27 states/eV per cell
Formation energy = 0.055 eV per atom
Space group = No. 166

***

Record 9
The following is a DFT calculation (PBE) of a geometry-optimized NaSe3N structure.

Structure (POSCAR):
```
NaSe3N
1.0
-0.6083 4.0870 -1.7936
-4.0881 0.2161 1.8790
1.7909 1.8815 3.6800
Se N Na
3 1 1
Direct
0.0000 0.5000 0.0000
0.5000 0.0000 0.0000
0.0000 0.0000 0.5000
0.0000 0.0000 0.0000
0.5000 0.5000 0.5000
```

E_tot = -3.52 eV/atom
Spin magnetization = 0.000 μB per atom
Energy above the lowest structure with this stoichiometry = 0 meV per atom
Density of states at the Fermi level = 1.99 states/eV per cell
Formation energy without anion corrections = 47.8 kJ per mole of atoms
Space group = No. 221

***

Record 10
The following is a DFT calculation (PBE) of a geometry-optimized ScCu structure.

Structure (POSCAR):
```
ScCu
1.0
-3.2814 -5.0893 -4.8498
6.1870 0.4508 -4.6592
3.3382 -5.8383 3.8680
Cu Sc
8 8
Direct
0.3863 0.6137 0.6137
0.8863 0.8863 0.8863
0.8863 0.1137 0.1137
0.1137 0.1137 0.8863
0.1137 0.8863 0.1137
0.6137 0.3863 0.6137
0.3863 0.3863 0.3863
0.6137 0.6137 0.3863
0.2998 0.7002 0.2998
0.7998 0.7998 0.2002
0.2002 0.2002 0.2002
0.7002 0.2998 0.2998
0.7002 0.7002 0.7002
0.2998 0.2998 0.7002
0.7998 0.2002 0.7998
0.2002 0.7998 0.7998
```

E_tot = -4.60 eV/atom
Spin magnetization = 0.000 μB per atom
Density of states at the Fermi level = 22.64 states/eV per cell
Formation energy = 0.613 eV per atom
Space group = No. 217

***

Record 11
The following is a DFT calculation (PBE) of a geometry-optimized CaSnB structure.

Structure (POSCAR):
```
CaSnB
1.0
-0.1436 2.7959 5.2081
-3.6361 -0.8352 0.3481
1.5939 -6.4426 1.1912
Sn B Ca
2 2 2
Direct
0.2627 0.0000 0.8269
0.7373 0.0000 0.1731
0.4211 0.0000 0.5685
0.5789 0.0000 0.4315
0.7509 0.5000 0.7415
0.2491 0.5000 0.2585
```

E_tot = -4.36 eV/atom
Spin magnetization = 0.000 μB per atom
Energy above the lowest structure with this stoichiometry = 34 meV per atom
Density of states at the Fermi level = 0.89 states/eV per cell
Formation energy = -0.133 eV per atom
Space group = No. 10

***

Record 12
The following is a DFT calculation (PBE) of a geometry-optimized DyY6Zr structure.

Structure (POSCAR):
```
DyY6Zr
1.0
-1.5588 1.8495 -5.5823
-2.1950 -5.7119 -3.5010
-5.7673 1.5946 1.0155
Dy Zr Y
1 1 6
Direct
0.0000 0.0000 0.0000
0.0000 0.5000 0.0000
0.9996 0.2585 0.4991
0.4958 0.6225 0.7595
0.0004 0.7415 0.5009
0.4873 0.1325 0.7539
0.5127 0.8675 0.2461
0.5042 0.3775 0.2405
```

E_tot = -6.43 eV/atom
Spin magnetization = 0.000 μB per atom
Density of states at the Fermi level = 11.68 states/eV per cell
Formation energy = 0.065 eV per atom
Space group = No. 2